The following is a DFT calculation (PBE) of crystalline TaBe2W at its relaxed geometry.

a b c (Å): 3.852 3.852 3.484
angles (deg): 90.00 90.00 90.00
Positions (direct):
W (0.000, 0.500, 0.500)
Ta (0.500, 0.000, 0.500)
Be (0.500, 0.500, 0.000)
Be (0.000, 0.000, 0.000)

Summary:
- calculated formation energy (kJ/mol of formula units) = 33
- total DFT energy (no corrections) (eV/atom) = -7.98
- ΔE to the lowest computed polymorph (meV per atom) = 311
- size of the total moment (μB per atom) = 0.00

The following is a DFT calculation (PBE) of crystalline CeTm3Th4S8 at its relaxed geometry.

a b c (Å): 7.788 8.079 7.788
angles (deg): 118.82 120.00 90.00
Positions (direct):
S (0.257, 0.272, 0.514)
S (0.752, 0.267, 0.504)
S (0.248, 0.733, 0.985)
S (0.752, 0.267, 0.015)
S (0.248, 0.733, 0.496)
S (0.263, 0.267, 0.015)
S (0.743, 0.728, 0.486)
S (0.737, 0.733, 0.985)
Tm (0.000, 0.500, 0.500)
Tm (0.500, 0.500, 0.000)
Tm (0.500, 0.500, 0.500)
Th (0.500, 0.000, 0.500)
Th (0.000, 0.000, 0.500)
Th (0.000, 0.000, 0.000)
Th (0.500, 0.000, 0.000)
Ce (0.000, 0.500, 0.000)

Summary:
- total DFT energy (no corrections) (eV/atom) = -7.03
- raw formation energy (eV per atom) = -1.899
- size of the total moment (μB per atom) = 0.03

The following is a DFT calculation (PBE) of crystalline Li2In3 at its relaxed geometry.

a b c (Å): 9.180 7.992 5.995
angles (deg): 80.67 59.21 40.12
Positions (direct):
In (0.923, 0.077, 0.077)
In (0.513, 0.780, 0.901)
In (0.470, 0.737, 0.443)
In (0.349, 0.443, 0.737)
In (0.173, 0.327, 0.327)
In (0.807, 0.901, 0.780)
Li (0.903, 0.197, 0.546)
Li (0.354, 0.546, 0.197)
Li (0.704, 0.896, 0.347)
Li (0.053, 0.347, 0.896)

Summary:
- calculated formation energy (kJ/mol of formula units) = -81
- total DFT energy (no corrections) (eV/atom) = -2.58
- ΔE to the lowest computed polymorph (meV per atom) = 39
- size of the total moment (μB per atom) = 0.00

The following is a DFT calculation (PBE) of crystalline BPd2C2 at its relaxed geometry.

a b c (Å): 6.019 6.019 3.049
angles (deg): 90.00 90.00 90.00
Positions (direct):
B (0.000, 0.000, 0.000)
B (0.500, 0.500, 0.000)
C (0.078, 0.422, 0.000)
C (0.578, 0.078, 0.000)
C (0.922, 0.578, 0.000)
C (0.422, 0.922, 0.000)
Pd (0.762, 0.738, 0.500)
Pd (0.262, 0.762, 0.500)
Pd (0.238, 0.262, 0.500)
Pd (0.738, 0.238, 0.500)

Summary:
- calculated formation energy (kJ/mol of formula units) = 589
- total DFT energy (no corrections) (eV/atom) = -5.88
- ΔE to the lowest computed polymorph (meV per atom) = 172
- size of the total moment (μB per atom) = 0.00

The following is a DFT calculation (PBE) of crystalline LiCu3Os at its relaxed geometry.

a b c (Å): 4.690 4.690 4.690
angles (deg): 90.00 90.00 90.00
Positions (direct):
Cu (0.000, 0.000, 0.500)
Cu (0.500, 0.000, 0.000)
Cu (0.000, 0.500, 0.000)
Os (0.000, 0.000, 0.000)
Li (0.500, 0.500, 0.500)

Summary:
- calculated formation energy (kJ/mol of formula units) = 518
- total DFT energy (no corrections) (eV/atom) = -4.01
- ΔE to the lowest computed polymorph (meV per atom) = 186
- size of the total moment (μB per atom) = 0.24

The following is a DFT calculation (PBE) of crystalline ZrScAu2 at its relaxed geometry.

a b c (Å): 8.073 8.073 8.073
angles (deg): 25.81 25.81 25.81
Positions (direct):
Zr (0.750, 0.750, 0.750)
Au (0.000, 0.000, 0.000)
Au (0.500, 0.500, 0.500)
Sc (0.250, 0.250, 0.250)

Summary:
- calculated formation energy (kJ/mol of formula units) = -160
- total DFT energy (no corrections) (eV/atom) = -5.77
- ΔE to the lowest computed polymorph (meV per atom) = 219
- size of the total moment (μB per atom) = 0.00

The following is a DFT calculation (PBE) of crystalline BiIrAu3 at its relaxed geometry.

a b c (Å): 5.032 5.032 5.032
angles (deg): 90.00 90.00 90.00
Positions (direct):
Bi (0.500, 0.500, 0.500)
Ir (0.000, 0.000, 0.000)
Au (0.000, 0.000, 0.500)
Au (0.000, 0.500, 0.000)
Au (0.500, 0.000, 0.000)

Summary:
- calculated formation energy (kJ/mol of formula units) = 405
- total DFT energy (no corrections) (eV/atom) = -3.68
- ΔE to the lowest computed polymorph (meV per atom) = 0
- size of the total moment (μB per atom) = 0.00

The following is a DFT calculation (PBE) of crystalline Tb7Nd2Th4 at its relaxed geometry.

a b c (Å): 6.104 6.104 13.395
angles (deg): 90.00 90.00 120.00
Positions (direct):
Tb (0.363, 0.363, 0.782)
Tb (0.637, 0.000, 0.782)
Tb (0.000, 0.637, 0.782)
Tb (0.363, 0.000, 0.218)
Tb (0.637, 0.637, 0.218)
Tb (0.000, 0.000, 0.000)
Tb (0.000, 0.363, 0.218)
Th (0.667, 0.333, 0.500)
Th (0.333, 0.667, 0.500)
Th (0.000, 0.000, 0.609)
Th (0.000, 0.000, 0.391)
Nd (0.667, 0.333, 0.000)
Nd (0.333, 0.667, 0.000)

Summary:
- calculated formation energy (kJ/mol of formula units) = 276
- total DFT energy (no corrections) (eV/atom) = -5.29
- size of the total moment (μB per atom) = 0.00

What is the formula in the eighth record? Tb7Nd2Th4

Among the records above, which one has the highest total DFT energy (no corrections)? Li2In3